(1)
The following is a DFT calculation (PBE) of a relaxed RbBaNa2 crystal.

E above lowest polymorph = 0.59 eV/f.u.
ΔE_f = 0.7 eV/f.u.

```
RbBaNa2
1.0
2.127 1.228 14.955
-2.127 1.228 14.955
0.000 -2.455 14.955
Rb Ba Na
1 1 2
direct
0.000 0.000 0.000
0.500 0.500 0.500
0.414 0.414 0.414
0.586 0.586 0.586
```

(2)
The following is a DFT calculation (PBE) of a relaxed RbBa2Na crystal.

ΔE_f = 0.5 eV/f.u.

```
RbBa2Na
1.0
6.117 0.000 0.000
0.000 6.117 0.000
0.000 0.000 6.708
Rb Ba Na
1 2 1
direct
0.000 0.000 0.000
0.000 0.500 0.500
0.500 0.000 0.500
0.500 0.500 0.000
```

(3)
The following is a DFT calculation (PBE) of a relaxed RbBa3Na4 crystal.

ΔE_f = 0.1 eV/f.u.

```
RbBa3Na4
1.0
4.694 0.000 0.000
0.000 4.694 0.000
0.000 0.000 19.648
Rb Ba Na
1 3 4
direct
0.000 0.000 0.000
0.000 0.000 0.262
0.000 0.000 0.500
0.000 0.000 0.738
0.500 0.500 0.140
0.500 0.500 0.380
0.500 0.500 0.620
0.500 0.500 0.860
```

(4)
The following is a DFT calculation (PBE) of a relaxed RbBa2Na crystal.

ΔE_f = 0.9 eV/f.u.

```
RbBa2Na
1.0
-5.523 5.523 4.283
5.523 -5.523 4.283
5.523 5.523 -4.283
Rb Ba Na
2 4 2
direct
0.000 0.000 0.000
0.750 0.250 0.500
0.161 0.625 0.036
0.375 0.411 0.536
0.589 0.125 0.964
0.875 0.839 0.464
0.250 0.750 0.500
0.500 0.500 0.000
```

(5)
The following is a DFT calculation (PBE) of a relaxed Rb2Ba2Na15 crystal.

ΔE_f = 0.7 eV/f.u.

```
Rb2Ba2Na15
1.0
6.357 3.670 6.277
-6.357 3.670 6.277
0.000 -7.341 6.277
Rb Ba Na
2 2 15
direct
0.151 0.151 0.151
0.849 0.849 0.849
0.394 0.394 0.394
0.606 0.606 0.606
0.000 0.500 0.500
0.147 0.147 0.660
0.147 0.660 0.147
0.207 0.500 0.793
0.207 0.793 0.500
0.340 0.853 0.853
0.500 0.000 0.500
0.500 0.207 0.793
0.500 0.500 0.000
0.500 0.793 0.207
0.660 0.147 0.147
0.793 0.207 0.500
0.793 0.500 0.207
0.853 0.340 0.853
0.853 0.853 0.340
```

(6)
The following is a DFT calculation (PBE) of a relaxed RbBaNa4 crystal.

ΔE_f = 0.2 eV/f.u.

```
RbBaNa4
1.0
0.000 5.264 5.264
5.264 0.000 5.264
5.264 5.264 0.000
Rb Ba Na
1 1 4
direct
0.000 0.000 0.000
0.750 0.750 0.750
0.376 0.376 0.376
0.376 0.376 0.873
0.376 0.873 0.376
0.873 0.376 0.376
```